Entry 1:
Density functional theory data (PBE) for AlZn2Pt8 after structural relaxation.

abc: 16.249 4.042 5.520
angles: 90.00 107.14 90.00
Space group C2/m (No. 12)
Asymmetric unit:
1 Al 0.000 0.000 0.000 [2 per cell]
2 Zn 0.186 0.500 0.747 [4 per cell]
3 Pt 0.021 0.500 0.750 [4 per cell]
4 Pt 0.108 0.000 0.436 [4 per cell]
5 Pt 0.146 0.000 0.972 [4 per cell]
6 Pt 0.213 0.500 0.306 [4 per cell]

## Properties
- DFT formation energy: -343 meV/atom

Entry 2:
Density functional theory data (PBE) for Na4NdPu3Te8 after structural relaxation.

abc: 9.0286 9.0286 22.4703
angles: 90.00 90.00 120.00
Space group R-3m (No. 166, hexagonal axes)
Asymmetric unit:
1 Na 0.0000 0.0000 0.0000 [3 per cell]
2 Na 0.0000 0.5000 0.0000 [9 per cell]
3 Nd 0.0000 0.0000 0.5000 [3 per cell]
4 Pu 0.0000 0.5000 0.5000 [9 per cell]
5 Te 0.0000 0.0000 0.2439 [6 per cell]
6 Te 0.0037 0.5019 0.7545 [18 per cell]

Entry 3:
Density functional theory data (PBE) for Ta2BeOs after structural relaxation.

abc: 4.107 3.105 9.705
angles: 90.00 90.00 90.00
Space group Amm2 (No. 38)
Asymmetric unit:
1 Ta 0.000 0.000 0.000 [2 per cell]
2 Ta 0.500 0.000 0.294 [2 per cell]
3 Be 0.500 0.000 0.566 [2 per cell]
4 Os 0.000 0.000 0.724 [2 per cell]

## Properties
- DFT formation energy: -123 meV/atom

Entry 4:
Density functional theory data (PBE) for GeC4Br2 after structural relaxation.

abc: 4.197 4.197 12.169
angles: 90.00 90.00 90.00
Space group I4/mmm (No. 139)
Asymmetric unit:
1 Ge 0.000 0.000 0.000 [2 per cell]
2 C 0.000 0.000 0.170 [4 per cell]
3 C 0.000 0.500 0.000 [4 per cell]
4 Br 0.000 0.000 0.314 [4 per cell]

Entry 5:
Density functional theory data (PBE) for MnCo2Si after structural relaxation.

abc: 2.677 4.099 4.075
angles: 90.00 90.00 90.00
Space group Pmm2 (No. 25)
Asymmetric unit:
1 Mn 0.000 0.000 0.000 [1 per cell]
2 Co 0.000 0.500 0.332 [1 per cell]
3 Co 0.500 0.000 0.504 [1 per cell]
4 Si 0.500 0.500 0.833 [1 per cell]

Entry 6:
Density functional theory data (PBE) for La2Nd8Ho after structural relaxation.

abc: 16.872 6.899 6.899
angles: 90.00 101.25 90.00
Space group C2/m (No. 12)
Asymmetric unit:
1 La 0.195 0.000 0.305 [4 per cell]
2 Nd 0.086 0.264 0.904 [8 per cell]
3 Nd 0.090 0.500 0.415 [4 per cell]
4 Nd 0.243 0.000 0.812 [4 per cell]
5 Ho 0.000 0.000 0.500 [2 per cell]

## Properties
- DFT formation energy: 141 meV/atom

| no. | calculated total energy (hartree per atom) |
| --- | --- |
| 1 | -0.1951 |
| 2 | -0.2201 |
| 3 | -0.3597 |
| 4 | -0.1389 |
| 5 | -0.2735 |
| 6 | -0.1704 |